An optimized crystal structure of Fe3PdPt. Source: the Alexandria database, functional PBE.

a b c (Å): 5.860 5.860 5.860
angles (deg): 64.98 64.98 64.98
Fractional positions:
Fe1 0.017 0.251 0.481
Fe2 0.251 0.481 0.017
Fe3 0.481 0.017 0.251
Fe4 0.519 0.983 0.749
Fe5 0.749 0.519 0.983
Fe6 0.983 0.749 0.519
Pd1 0.094 0.094 0.094
Pd2 0.906 0.906 0.906
Pt1 0.405 0.405 0.405
Pt2 0.595 0.595 0.595

Summary:
Space group   R-3 (148)
Energy relative to the lowest polymorph listed for this composition   0.00 eV/f.u.
Total magnetic moment   19.97 Bohr magnetons per cell
Formation energy   320 meV/atom
E_tot   -7.004 eV per atom

=====

An optimized crystal structure of FePdPt2. Source: the Alexandria database, functional PBE.

a b c (Å): 5.640 5.640 5.640
angles (deg): 102.58 102.58 124.36
Fractional positions:
Fe1 0.000 0.000 0.000
Fe2 0.750 0.250 0.500
Pd1 0.250 0.750 0.500
Pd2 0.500 0.500 0.000
Pt1 0.094 0.625 0.969
Pt2 0.375 0.344 0.469
Pt3 0.656 0.125 0.031
Pt4 0.875 0.906 0.531

Summary:
Space group   I-42d (122)
Total magnetic moment   8.11 Bohr magnetons per cell
Formation energy   168 meV/atom
E_tot   -6.267 eV per atom

=====

An optimized crystal structure of FePd3Pt4. Source: the Alexandria database, functional PBE.

a b c (Å): 9.231 9.231 4.820
angles (deg): 95.14 95.14 17.31
Fractional positions:
Fe1 0.000 0.000 0.000
Pd1 0.250 0.250 0.751
Pd2 0.500 0.500 0.500
Pd3 0.750 0.750 0.249
Pt1 0.123 0.123 0.373
Pt2 0.380 0.380 0.122
Pt3 0.620 0.620 0.878
Pt4 0.877 0.877 0.627

Summary:
Space group   C2/m (12)
Energy relative to the lowest polymorph listed for this composition   0.10 eV/f.u.
Total magnetic moment   5.41 Bohr magnetons per cell
Formation energy   -114 meV/atom
E_tot   -6.140 eV per atom

=====

An optimized crystal structure of Fe2Pd3Pt. Source: the Alexandria database, functional PBE.

a b c (Å): 6.104 6.104 3.879
angles (deg): 90.00 90.00 142.91
Fractional positions:
Fe1 0.167 0.833 0.000
Fe2 0.833 0.167 0.000
Pd1 0.000 0.000 0.500
Pd2 0.330 0.670 0.500
Pd3 0.670 0.330 0.500
Pt1 0.500 0.500 0.000

Summary:
Space group   Cmmm (65)
Energy relative to the lowest polymorph listed for this composition   0.13 eV/f.u.
Total magnetic moment   7.70 Bohr magnetons per cell
Formation energy   -115 meV/atom
E_tot   -6.539 eV per atom

=====

An optimized crystal structure of Fe3Pd4Pt. Source: the Alexandria database, functional PBE.

a b c (Å): 8.873 5.485 4.734
angles (deg): 90.00 90.00 90.00
Fractional positions:
Fe1 0.000 0.000 0.000
Fe2 0.250 0.000 0.328
Fe3 0.250 0.500 0.324
Fe4 0.500 0.000 0.000
Fe5 0.750 0.000 0.672
Fe6 0.750 0.500 0.676
Pd1 0.000 0.245 0.500
Pd2 0.000 0.755 0.500
Pd3 0.250 0.248 0.837
Pd4 0.250 0.752 0.837
Pd5 0.500 0.245 0.500
Pd6 0.500 0.755 0.500
Pd7 0.750 0.248 0.163
Pd8 0.750 0.752 0.163
Pt1 0.000 0.500 0.000
Pt2 0.500 0.500 0.000

Summary:
Space group   Pmma (51)
Total magnetic moment   21.86 Bohr magnetons per cell
Formation energy   -95 meV/atom
E_tot   -6.620 eV per atom

=====

An optimized crystal structure of Fe9Pd4Pt11. Source: the Alexandria database, functional PBE.

a b c (Å): 11.314 11.314 2.728
angles (deg): 90.00 90.00 91.69
Fractional positions:
Fe1 0.000 0.000 0.000
Fe2 0.122 0.634 0.000
Fe3 0.299 0.466 0.000
Fe4 0.366 0.878 0.000
Fe5 0.466 0.299 0.000
Fe6 0.534 0.701 0.000
Fe7 0.634 0.122 0.000
Fe8 0.701 0.534 0.000
Fe9 0.878 0.366 0.000
Pd1 0.052 0.221 0.000
Pd2 0.221 0.052 0.000
Pd3 0.779 0.948 0.000
Pd4 0.948 0.779 0.000
Pt1 0.096 0.434 0.500
Pt2 0.157 0.843 0.500
Pt3 0.267 0.267 0.500
Pt4 0.329 0.671 0.500
Pt5 0.434 0.096 0.500
Pt6 0.500 0.500 0.500
Pt7 0.566 0.904 0.500
Pt8 0.671 0.329 0.500
Pt9 0.733 0.733 0.500
Pt10 0.843 0.157 0.500
Pt11 0.904 0.566 0.500

Summary:
Space group   Cmmm (65)
Total magnetic moment   31.72 Bohr magnetons per cell
Formation energy   -179 meV/atom
E_tot   -6.986 eV per atom

=====

An optimized crystal structure of Fe2Pd2Pt5. Source: the Alexandria database, functional PBE.

a b c (Å): 4.817 4.817 6.932
angles (deg): 96.19 96.19 120.64
Fractional positions:
Fe1 0.231 0.231 0.166
Fe2 0.769 0.769 0.834
Pd1 0.336 0.664 0.500
Pd2 0.664 0.336 0.500
Pt1 0.000 0.000 0.500
Pt2 0.106 0.431 0.838
Pt3 0.431 0.106 0.838
Pt4 0.569 0.894 0.162
Pt5 0.894 0.569 0.162

Summary:
Space group   C2/m (12)
Total magnetic moment   8.62 Bohr magnetons per cell
Formation energy   -143 meV/atom
E_tot   -6.534 eV per atom

=====

An optimized crystal structure of FePd6Pt5. Source: the Alexandria database, functional PBE.

a b c (Å): 7.372 7.372 7.372
angles (deg): 149.17 115.07 73.59
Fractional positions:
Fe1 0.000 0.000 0.000
Pd1 0.079 0.834 0.245
Pd2 0.239 0.500 0.739
Pd3 0.411 0.166 0.245
Pd4 0.589 0.834 0.755
Pd5 0.761 0.500 0.261
Pd6 0.921 0.166 0.755
Pt1 0.165 0.665 0.500
Pt2 0.338 0.338 0.000
Pt3 0.500 0.000 0.500
Pt4 0.662 0.662 0.000
Pt5 0.835 0.335 0.500

Summary:
Space group   Immm (71)
Total magnetic moment   5.64 Bohr magnetons per cell
Formation energy   -80 meV/atom
E_tot   -5.898 eV per atom

=====

> What is the total magnetic moment in the second record?

8.11 Bohr magnetons per cell